Here is a geometry-optimized SrMgIn2 structure from Alexandria. Energies are from GGA-PBE.

Formation energy: -0.29 eV/atom

Unit cell a=8.6045 b=4.9735 c=6.3128 alpha=90.00 beta=116.92 gamma=90.00
Fractional coordinates of all 8 atoms:
1 Sr 0.0000 0.0000 0.0000
2 Sr 0.5000 0.5000 0.0000
3 Mg 0.0000 0.5000 0.5000
4 Mg 0.5000 0.0000 0.5000
5 In 0.2186 0.0000 0.6562
6 In 0.2814 0.5000 0.3438
7 In 0.7186 0.5000 0.6562
8 In 0.7814 0.0000 0.3438